No. 1
A geometry-optimized Tb4PrRh5 structure, computed with GGA-PBE.

Geometry as POSCAR:
```
Tb4PrRh5
1.0
3.434 0.000 0.000
0.000 3.434 0.000
0.000 0.000 17.668
Tb Pr Rh
4 1 5
direct
0.000 0.000 0.098 Tb
0.000 0.000 0.296 Tb
0.000 0.000 0.704 Tb
0.000 0.000 0.902 Tb
0.000 0.000 0.500 Pr
0.500 0.500 0.000 Rh
0.500 0.500 0.197 Rh
0.500 0.500 0.391 Rh
0.500 0.500 0.609 Rh
0.500 0.500 0.803 Rh
```

Results
DFT formation energy = -0.782 eV/atom

No. 2
A geometry-optimized KTc3N structure, computed with GGA-PBE.

Geometry as POSCAR:
```
KTc3N
1.0
4.235 0.000 0.000
0.000 4.235 0.000
0.000 0.000 4.235
K Tc N
1 3 1
direct
0.000 0.000 0.000 K
0.000 0.500 0.500 Tc
0.500 0.000 0.500 Tc
0.500 0.500 0.000 Tc
0.500 0.500 0.500 N
```

Results
E above lowest polymorph = 0.000 eV per atom

No. 3
A geometry-optimized FeTcSb2 structure, computed with GGA-PBE.

Geometry as POSCAR:
```
FeTcSb2
1.0
6.707 0.000 0.000
0.000 6.707 0.000
0.000 0.000 6.707
Fe Tc Sb
4 4 8
direct
0.000 0.000 0.000 Fe
0.000 0.500 0.500 Fe
0.500 0.000 0.500 Fe
0.500 0.500 0.000 Fe
0.250 0.250 0.750 Tc
0.250 0.750 0.250 Tc
0.750 0.250 0.250 Tc
0.750 0.750 0.750 Tc
0.000 0.000 0.500 Sb
0.000 0.500 0.000 Sb
0.250 0.250 0.250 Sb
0.250 0.750 0.750 Sb
0.500 0.000 0.000 Sb
0.500 0.500 0.500 Sb
0.750 0.250 0.750 Sb
0.750 0.750 0.250 Sb
```

Results
E above lowest polymorph = 0.546 eV per atom